Entry 1:
Crystalline RbBeGaBr4 at its relaxed geometry, computed with GGA-PBE.

Computed properties:
The volume is 456.6 Å³/cell. Its total energy is -3.17 eV/atom. Its magnetization is 0.00 μB/atom. As for the space group: No. 11. For the formation energy without anion corrections, the calculation gives -1.113 eV/atom.

Unit cell a=6.8938 b=7.3861 c=9.5357 alpha=90.00 beta=109.88 gamma=90.00
Closest atoms and distances in Å follow each position.
Positions (direct):
Rb  0.7036  0.7500  0.9186  8 Br 3.52-3.80
Rb  0.2964  0.2500  0.0814  8 Br 3.52-3.80
Be  0.2000  0.7500  0.3018  4 Br 2.19-2.22
Be  0.8000  0.2500  0.6982  4 Br 2.19-2.22
Ga  0.7766  0.7500  0.4632  4 Br 3.02-3.27
Ga  0.2234  0.2500  0.5368  4 Br 3.02-3.27
Br  0.9986  0.4904  0.7505  1 Be 2.19
Br  0.0014  0.9904  0.2495  1 Be 2.19
Br  0.0014  0.5096  0.2495  1 Be 2.19
Br  0.9986  0.0096  0.7505  1 Be 2.19
Br  0.4045  0.7500  0.1654  1 Be 2.22
Br  0.5955  0.2500  0.8346  1 Be 2.22
Br  0.3868  0.7500  0.5406  1 Be 2.20
Br  0.6132  0.2500  0.4594  1 Be 2.20

Entry 2:
Crystalline Rb2BeGaBr6 at its relaxed geometry, computed with GGA-PBE.

Computed properties:
The volume is 291.5 Å³/cell. Its total energy is -2.92 eV/atom. Its magnetization is 0.00 μB/atom. As for the space group: No. 139. For the formation energy without anion corrections, the calculation gives -1.052 eV/atom.

Unit cell a=7.4208 b=7.4208 c=7.4532 alpha=60.14 beta=60.14 gamma=90.00
Closest atoms and distances in Å follow each position.
Positions (direct):
Be  0.5000  0.5000  0.0000  6 Br 2.49-2.55
Ga  0.0000  0.0000  0.0000  6 Br 2.75-2.76
Br  0.2594  0.2594  0.4812  1 Be 2.55, 1 Ga 2.75
Br  0.7406  0.7406  0.5188  1 Be 2.55, 1 Ga 2.75
Br  0.2631  0.2631  0.0000  1 Be 2.49, 1 Ga 2.76
Br  0.7369  0.7369  0.0000  1 Be 2.49, 1 Ga 2.76
Br  0.7369  0.2631  0.0000  1 Be 2.49, 1 Ga 2.76
Br  0.2631  0.7369  0.0000  1 Be 2.49, 1 Ga 2.76
Rb  0.7500  0.2500  0.5000  12 Br 3.71-3.73
Rb  0.2500  0.7500  0.5000  12 Br 3.71-3.73

Entry 3:
Crystalline RbBeGaBr2 at its relaxed geometry, computed with GGA-PBE.

Computed properties:
The volume is 167.8 Å³/cell. Its total energy is -2.17 eV/atom. Its magnetization is 0.00 μB/atom. As for the space group: No. 123. For the formation energy without anion corrections, the calculation gives 0.043 eV/atom.

Unit cell a=4.9229 b=6.9260 c=4.9229 alpha=90.00 beta=90.00 gamma=90.00
Closest atoms and distances in Å follow each position.
Positions (direct):
Be  0.0000  0.0000  0.0000  4 Br 2.46
Ga  0.5000  0.5000  0.5000  4 Rb 3.48
Br  0.0000  0.0000  0.5000  2 Be 2.46
Br  0.5000  0.0000  0.0000  2 Be 2.46
Rb  0.0000  0.5000  0.0000  2 Be 3.46, 4 Ga 3.48

Entry 4:
Crystalline BeGa2ReBr at its relaxed geometry, computed with GGA-PBE.

Computed properties:
The volume is 136.6 Å³/cell. Its total energy is -2.92 eV/atom. Its magnetization is 0.37 μB/atom. As for the space group: No. 123. For the formation energy without anion corrections, the calculation gives 1.865 eV/atom.

Unit cell a=5.4383 b=4.6192 c=5.4383 alpha=90.00 beta=90.00 gamma=90.00
Closest atoms and distances in Å follow each position.
Positions (direct):
Re  0.0000  0.5000  0.0000  2 Br 2.31
Ga  0.0000  0.0000  0.5000  2 Br 2.72
Ga  0.5000  0.0000  0.0000  2 Br 2.72
Br  0.0000  0.0000  0.0000  2 Re 2.31
Be  0.5000  0.5000  0.5000  8 Ga 3.57, 4 Re 3.85